Record 1
# PBE-GGA YTmAlSi2, optimized geometry
data_YTmAlSi2
_cell_length_a 4.058
_cell_length_b 5.707
_cell_length_c 8.647
_cell_angle_alpha 90.00
_cell_angle_beta 90.00
_cell_angle_gamma 90.00
_space_group_name_H-M_alt 'I m m 2'
_space_group_IT_number 44
_space_group_name_Hall 'I 2 -2'
loop_
_atom_site_label
_atom_site_fract_x
_atom_site_fract_y
_atom_site_fract_z
_atom_site_occupancy
Y1 0.000 0.000 0.000 1
Tm1 0.000 0.000 0.579 1
Al1 0.000 0.500 0.789 1
Si1 0.000 0.289 0.289 1
# Calculated total energy ... -58.3 eV per cell

=====

Record 2
# PBE-GGA UZnFe, optimized geometry
data_UZnFe
_cell_length_a 6.020
_cell_length_b 6.020
_cell_length_c 6.020
_cell_angle_alpha 90.00
_cell_angle_beta 90.00
_cell_angle_gamma 90.00
_space_group_name_H-M_alt 'F -4 3 m'
_space_group_IT_number 216
_space_group_name_Hall 'F -4 2 3'
loop_
_atom_site_label
_atom_site_fract_x
_atom_site_fract_y
_atom_site_fract_z
_atom_site_occupancy
U1 0.000 0.000 0.000 1
Zn1 0.000 0.000 0.500 1
Fe1 0.250 0.250 0.750 1
# Formation enthalpy at 0 K ... 354 meV/atom

=====

Record 3
# PBE-GGA DySi2Ir, optimized geometry
data_DySi2Ir
_cell_length_a 4.196
_cell_length_b 8.640
_cell_length_c 15.749
_cell_angle_alpha 90.00
_cell_angle_beta 90.00
_cell_angle_gamma 90.00
_space_group_name_H-M_alt 'I m m m'
_space_group_IT_number 71
_space_group_name_Hall '-I 2 2'
loop_
_atom_site_label
_atom_site_fract_x
_atom_site_fract_y
_atom_site_fract_z
_atom_site_occupancy
Dy1 0.000 0.000 0.205 1
Dy2 0.000 0.243 0.000 1
Si1 0.000 0.000 0.423 1
Si2 0.000 0.348 0.200 1
Si3 0.000 0.500 0.425 1
Ir1 0.000 0.248 0.354 1
# Calculated total energy ... -224.8 eV per cell

=====

Record 4
# PBE-GGA BaNaTc, optimized geometry
data_BaNaTc
_cell_length_a 7.452
_cell_length_b 7.452
_cell_length_c 7.452
_cell_angle_alpha 90.00
_cell_angle_beta 90.00
_cell_angle_gamma 90.00
_space_group_name_H-M_alt 'F -4 3 m'
_space_group_IT_number 216
_space_group_name_Hall 'F -4 2 3'
loop_
_atom_site_label
_atom_site_fract_x
_atom_site_fract_y
_atom_site_fract_z
_atom_site_occupancy
Ba1 0.000 0.000 0.000 1
Na1 0.250 0.250 0.750 1
Tc1 0.250 0.250 0.250 1
# Calculated total energy ... -36.7 eV per cell

=====

Record 5
# PBE-GGA Pr3In3Ag2Au, optimized geometry
data_Pr3In3Ag2Au
_cell_length_a 7.8381
_cell_length_b 7.8381
_cell_length_c 4.2804
_cell_angle_alpha 90.00
_cell_angle_beta 90.00
_cell_angle_gamma 120.00
_space_group_name_H-M_alt 'P -6 2 m'
_space_group_IT_number 189
_space_group_name_Hall 'P -6 -2'
loop_
_atom_site_label
_atom_site_fract_x
_atom_site_fract_y
_atom_site_fract_z
_atom_site_occupancy
Pr1 0.0000 0.5918 0.0000 1
In1 0.0000 0.2524 0.5000 1
Ag1 0.3333 0.6667 0.5000 1
Au1 0.0000 0.0000 0.0000 1
# Calculated total energy ... -36.1 eV per cell

=====

Record 6
# PBE-GGA LaErPu, optimized geometry
data_LaErPu
_cell_length_a 7.343
_cell_length_b 7.343
_cell_length_c 7.343
_cell_angle_alpha 90.00
_cell_angle_beta 90.00
_cell_angle_gamma 90.00
_space_group_name_H-M_alt 'F -4 3 m'
_space_group_IT_number 216
_space_group_name_Hall 'F -4 2 3'
loop_
_atom_site_label
_atom_site_fract_x
_atom_site_fract_y
_atom_site_fract_z
_atom_site_occupancy
La1 0.000 0.000 0.000 1
Er1 0.250 0.250 0.750 1
Pu1 0.250 0.250 0.250 1
# Formation enthalpy at 0 K ... 718 meV/atom

=====

Record 7
# PBE-GGA Tm3Sc3ReTe2, optimized geometry
data_Tm3Sc3ReTe2
_cell_length_a 7.9922
_cell_length_b 7.9922
_cell_length_c 3.9953
_cell_angle_alpha 90.00
_cell_angle_beta 90.00
_cell_angle_gamma 120.00
_space_group_name_H-M_alt 'P -6 2 m'
_space_group_IT_number 189
_space_group_name_Hall 'P -6 -2'
loop_
_atom_site_label
_atom_site_fract_x
_atom_site_fract_y
_atom_site_fract_z
_atom_site_occupancy
Tm1 0.0000 0.7571 0.0000 1
Sc1 0.0000 0.3822 0.5000 1
Re1 0.0000 0.0000 0.5000 1
Te1 0.3333 0.6667 0.0000 1
# Calculated total energy ... -56.1 eV per cell

=====

Record 8
# PBE-GGA Ta2InTc, optimized geometry
data_Ta2InTc
_cell_length_a 6.582
_cell_length_b 6.582
_cell_length_c 6.582
_cell_angle_alpha 90.00
_cell_angle_beta 90.00
_cell_angle_gamma 90.00
_space_group_name_H-M_alt 'F -4 3 m'
_space_group_IT_number 216
_space_group_name_Hall 'F -4 2 3'
loop_
_atom_site_label
_atom_site_fract_x
_atom_site_fract_y
_atom_site_fract_z
_atom_site_occupancy
Ta1 0.000 0.000 0.000 1
Ta2 0.250 0.250 0.250 1
In1 0.000 0.000 0.500 1
Tc1 0.250 0.250 0.750 1
# Calculated total energy ... -144.1 eV per cell

=====

Record 9
# PBE-GGA CoNiAsOs, optimized geometry
data_CoNiAsOs
_cell_length_a 5.916
_cell_length_b 5.916
_cell_length_c 5.916
_cell_angle_alpha 90.00
_cell_angle_beta 90.00
_cell_angle_gamma 90.00
_space_group_name_H-M_alt 'F -4 3 m'
_space_group_IT_number 216
_space_group_name_Hall 'F -4 2 3'
loop_
_atom_site_label
_atom_site_fract_x
_atom_site_fract_y
_atom_site_fract_z
_atom_site_occupancy
Co1 0.000 0.000 0.000 1
Ni1 0.000 0.000 0.500 1
As1 0.250 0.250 0.750 1
Os1 0.250 0.250 0.250 1
# Calculated total energy ... -107.0 eV per cell

=====

Record 10
# PBE-GGA PdS4I, optimized geometry
data_PdS4I
_cell_length_a 6.606
_cell_length_b 7.373
_cell_length_c 7.501
_cell_angle_alpha 100.58
_cell_angle_beta 103.82
_cell_angle_gamma 103.20
_space_group_name_H-M_alt 'P -1'
_space_group_IT_number 2
_space_group_name_Hall '-P 1'
loop_
_atom_site_label
_atom_site_fract_x
_atom_site_fract_y
_atom_site_fract_z
_atom_site_occupancy
Pd1 0.250 0.057 0.446 1
S1 0.039 0.268 0.361 1
S2 0.128 0.013 0.721 1
S3 0.372 0.775 0.481 1
S4 0.460 0.149 0.242 1
I1 0.253 0.513 0.985 1
# Calculated total energy ... -45.6 eV per cell

=====

Record 11
# PBE-GGA Lu2Nb4Ga3C3, optimized geometry
data_Lu2Nb4Ga3C3
_cell_length_a 9.713
_cell_length_b 5.598
_cell_length_c 14.324
_cell_angle_alpha 90.00
_cell_angle_beta 103.52
_cell_angle_gamma 90.00
_space_group_name_H-M_alt 'C 1 2/c 1'
_space_group_IT_number 15
_space_group_name_Hall '-C 2yc'
loop_
_atom_site_label
_atom_site_fract_x
_atom_site_fract_y
_atom_site_fract_z
_atom_site_occupancy
Lu1 0.042 0.080 0.391 1
Nb1 0.112 0.407 0.582 1
Nb2 0.227 0.421 0.918 1
Ga1 0.000 0.439 0.750 1
Ga2 0.238 0.152 0.752 1
C1 0.085 0.255 0.000 1
C2 0.250 0.250 0.500 1
# Calculated total energy ... -372.9 eV per cell

=====

Record 12
# PBE-GGA AlGaCu, optimized geometry
data_AlGaCu
_cell_length_a 5.892
_cell_length_b 5.892
_cell_length_c 5.892
_cell_angle_alpha 90.00
_cell_angle_beta 90.00
_cell_angle_gamma 90.00
_space_group_name_H-M_alt 'F -4 3 m'
_space_group_IT_number 216
_space_group_name_Hall 'F -4 2 3'
loop_
_atom_site_label
_atom_site_fract_x
_atom_site_fract_y
_atom_site_fract_z
_atom_site_occupancy
Al1 0.000 0.000 0.000 1
Ga1 0.250 0.250 0.250 1
Cu1 0.250 0.250 0.750 1
# Calculated total energy ... -40.8 eV per cell